BaSc2Ag | PBE | relaxed

Output
ΔH_f (0 K) = 0.253 eV/atom
E above lowest polymorph = 83.5 kJ/mol of formula units
M_tot = 0.00 μB per cell
Symmetry = Pmmm (47)

Lattice parameters (Å, degrees): 3.7317 5.4363 5.5528 90.00 90.00 90.00
With the nearest neighbours (Å) after each atom.
Positions (direct):
Ag (0.5000, 0.0000, 0.5000)  4 Ba 3.30, 4 Sc 3.35
Sc (0.0000, 0.0000, 0.0000)  4 Sc 3.30, 4 Ag 3.35
Sc (0.5000, 0.5000, 0.0000)  4 Sc 3.30, 4 Ba 3.35
Ba (0.0000, 0.5000, 0.5000)  4 Ag 3.30, 4 Sc 3.35


BaSc2Ag | PBE | relaxed

Output
ΔH_f (0 K) = 0.316 eV/atom
E above lowest polymorph = 107.6 kJ/mol of formula units
M_tot = 1.14 μB per cell
Symmetry = Fm-3m (225)

Lattice parameters (Å, degrees): 5.2566 5.2566 5.2566 60.00 60.00 60.00
With the nearest neighbours (Å) after each atom.
Positions (direct):
Ag (0.0000, 0.0000, 0.0000)  8 Sc 3.22
Ba (0.5000, 0.5000, 0.5000)  8 Sc 3.22
Sc (0.7500, 0.7500, 0.7500)  4 Ba 3.22, 4 Ag 3.22
Sc (0.2500, 0.2500, 0.2500)  4 Ba 3.22, 4 Ag 3.22


Question: The highest ΔH_f (0 K) belongs to which entry?
Answer: number 2


Question: The highest ΔH_f (0 K) belongs to which entry?
Answer: number 2


Question: What is the formula in the second record?
Answer: BaSc2Ag


Question: Look up the ΔH_f (0 K) of the first one.
Answer: 0.253 eV/atom